# La3IrPb

A relaxed structure of La3IrPb (PBE-GGA, the Alexandria database).

Output
density of states at the Fermi level = 0.9417 states/eV per atom
E_form = -630 meV/atom
theoretical density = 8.0 Mg/m³
SG = No. 62
distance to the lowest polymorph of the same formula = 57 meV/atom
E_tot = -6.100 eV per atom
total magnetization = 0.0 μB per cell

Unit cell a=8.036 b=11.188 c=7.492 alpha=90.00 beta=90.00 gamma=90.00
Positions (direct):
La  0.311  0.041  0.317
La  0.018  0.750  0.415
La  0.518  0.750  0.085
La  0.689  0.959  0.683
La  0.189  0.541  0.817
La  0.189  0.959  0.817
La  0.311  0.459  0.317
La  0.982  0.250  0.585
La  0.482  0.250  0.915
La  0.811  0.041  0.183
La  0.811  0.459  0.183
La  0.689  0.541  0.683
Pb  0.074  0.250  0.030
Pb  0.426  0.750  0.530
Pb  0.574  0.250  0.470
Pb  0.926  0.750  0.970
Ir  0.500  0.000  0.000
Ir  0.000  0.500  0.500
Ir  0.000  0.000  0.500
Ir  0.500  0.500  0.000

# POsBr2

A relaxed structure of POsBr2 (PBE-GGA, the Alexandria database).

Output
density of states at the Fermi level = 0.8841 states/eV per atom
theoretical density = 7.9 Mg/m³
SG = No. 65
formation energy from raw total energies = 1.11 eV per atom
distance to the lowest polymorph of the same formula = 1169 meV/atom
E_tot = -3.889 eV per atom
total magnetization = 0.0 μB per cell

Unit cell a=3.218 b=3.218 c=9.305 alpha=90.00 beta=90.00 gamma=124.03
Positions (direct):
P  0.500  0.500  0.750
Os  0.500  0.500  0.250
Br  0.000  0.000  0.468
Br  0.000  0.000  0.032

# Hf3Zr2NpN6

A relaxed structure of Hf3Zr2NpN6 (PBE-GGA, the Alexandria database).

Output
density of states at the Fermi level = 0.5583 states/eV per atom
theoretical density = 11.7 Mg/m³
SG = No. 12
formation energy from raw total energies = -1.65 eV per atom
E_tot = -10.806 eV per atom
total magnetization = 3.3 μB per cell

Unit cell a=3.243 b=6.599 c=7.311 alpha=103.70 beta=102.81 gamma=90.00
Site moments in Bohr magnetons follow the coordinates.
Positions (direct):
N  0.329  0.924  0.657  -0.03
N  0.671  0.076  0.343  -0.03
N  0.664  0.591  0.328  0.02
N  0.003  0.735  0.005  -0.05
N  0.997  0.265  0.995  -0.05
N  0.336  0.409  0.672  0.02
Hf  0.500  0.500  0.000  0.01
Hf  0.832  0.168  0.663  0.03
Hf  0.168  0.832  0.337  0.03
Zr  0.168  0.335  0.336  0.04
Zr  0.832  0.665  0.664  0.04
Np  0.500  0.000  0.000  3.05

# NaTmInGa

A relaxed structure of NaTmInGa (PBE-GGA, the Alexandria database).

Output
density of states at the Fermi level = 0.3569 states/eV per atom
E_form = -240 meV/atom
theoretical density = 6.6 Mg/m³
SG = No. 216
E_tot = -3.129 eV per atom
total magnetization = 0.0 μB per cell

Unit cell a=5.121 b=5.121 c=5.121 alpha=60.00 beta=60.00 gamma=60.00
Positions (direct):
In  0.750  0.750  0.750
Na  0.500  0.500  0.500
Ga  0.250  0.250  0.250
Tm  0.000  0.000  0.000

# Tb7ErTl4

A relaxed structure of Tb7ErTl4 (PBE-GGA, the Alexandria database).

Output
density of states at the Fermi level = 1.1461 states/eV per atom
E_form = -22 meV/atom
theoretical density = 9.6 Mg/m³
SG = No. 12
E_tot = -3.892 eV per atom
total magnetization = 0.0 μB per cell

Unit cell a=5.802 b=9.152 c=8.020 alpha=69.39 beta=68.79 gamma=71.52
Positions (direct):
Tb  0.204  0.120  0.472
Tb  0.742  0.306  0.210
Tb  0.796  0.880  0.528
Tb  0.500  0.000  0.000
Tb  0.933  0.405  0.730
Tb  0.067  0.595  0.270
Tb  0.258  0.694  0.790
Tl  0.685  0.663  0.966
Tl  0.452  0.713  0.383
Tl  0.548  0.287  0.617
Tl  0.315  0.337  0.034
Er  0.000  0.000  0.000

# BeAs2W

A relaxed structure of BeAs2W (PBE-GGA, the Alexandria database).

Output
density of states at the Fermi level = 0.8313 states/eV per atom
E_form = 482 meV/atom
theoretical density = 6.9 Mg/m³
SG = No. 122
E_tot = -6.012 eV per atom
total magnetization = 3.3 μB per cell

Unit cell a=5.535 b=5.535 c=6.679 alpha=65.52 beta=65.52 gamma=90.00
Site moments in Bohr magnetons follow the coordinates.
Positions (direct):
W  0.000  0.000  0.000  1.27
W  0.750  0.250  0.500  1.25
As  0.875  0.846  0.750  -0.03
As  0.154  0.625  0.250  -0.03
As  0.375  0.404  0.750  -0.03
As  0.596  0.125  0.250  -0.03
Be  0.500  0.500  0.000  0.05
Be  0.250  0.750  0.500  0.05

> Which of these has the highest E_tot?

NaTmInGa

> Which value of theoretical density does entry 4 give?

6.6 Mg/m³

> What is the density of states at the Fermi level in the first record?

0.9417 states/eV per atom